A relaxed structure of K2LiTl6In. Source: the Alexandria database, functional PBE.

SG	No. 2
crystal system	triclinic
calculated formation energy	-0.06	eV per atom

a b c (Å): 8.0403 7.7123 8.0239
angles (deg): 61.30 57.12 90.10
Last column: nearest neighbours and their distance in Å.
Element x y z (fractional)
In  0.0000  0.0000  0.0000  6 Tl 3.11-3.13
Tl  0.6455  0.8486  0.9913  1 Li 2.89, 1 In 3.13
Tl  0.1535  0.1630  0.4851  1 Li 2.85, 1 In 3.11
Tl  0.8390  0.3526  0.8011  1 Li 2.88, 1 In 3.12
Tl  0.1610  0.6474  0.1989  1 Li 2.88, 1 In 3.12
Tl  0.8465  0.8370  0.5149  1 Li 2.85, 1 In 3.11
Tl  0.3545  0.1514  0.0087  1 Li 2.89, 1 In 3.13
K  0.3103  0.6895  0.6215  6 Tl 3.68-3.98, 1 Li 3.80
K  0.6897  0.3105  0.3785  6 Tl 3.68-3.98, 1 Li 3.80
Li  0.5000  0.5000  0.0000  6 Tl 2.85-2.89

A relaxed structure of K2LiZrIn. Source: the Alexandria database, functional PBE.

SG	No. 123
crystal system	tetragonal
calculated formation energy	0.88	eV per atom

a b c (Å): 6.6851 5.6594 6.6851
angles (deg): 90.00 90.00 90.00
Last column: nearest neighbours and their distance in Å.
Element x y z (fractional)
Zr  0.0000  0.0000  0.0000  2 In 2.83
In  0.0000  0.5000  0.0000  2 Zr 2.83
K  0.0000  0.0000  0.5000  2 Zr 3.34
K  0.5000  0.0000  0.0000  2 Zr 3.34
Li  0.5000  0.5000  0.5000  8 K 4.38, 4 In 4.73

A relaxed structure of KLuIn2. Source: the Alexandria database, functional PBE.

relative energy among the computed polymorphs	0.0	meV per atom
SG	No. 123
crystal system	tetragonal
calculated formation energy	-0.20	eV per atom

a b c (Å): 3.7825 3.7825 8.5777
angles (deg): 90.00 90.00 90.00
Last column: nearest neighbours and their distance in Å.
Element x y z (fractional)
In  0.0000  0.0000  0.7988  4 Lu 3.18, 1 In 3.45
In  0.0000  0.0000  0.2012  4 Lu 3.18, 1 In 3.45
Lu  0.5000  0.5000  0.0000  8 In 3.18
K  0.5000  0.5000  0.5000  8 In 3.70, 4 K 3.78

A relaxed structure of KLuIn4. Source: the Alexandria database, functional PBE.

SG	No. 216
crystal system	cubic
calculated formation energy	-0.08	eV per atom

a b c (Å): 6.1596 6.1596 6.1596
angles (deg): 60.00 60.00 60.00
Last column: nearest neighbours and their distance in Å.
Element x y z (fractional)
K  0.2500  0.2500  0.2500  12 In 3.61, 4 Lu 3.77
In  0.1240  0.6253  0.6253  6 In 3.07-3.09
In  0.6253  0.6253  0.6253  6 In 3.07-3.09
In  0.6253  0.6253  0.1240  6 In 3.07-3.09
In  0.6253  0.1240  0.6253  6 In 3.07-3.09
Lu  0.0000  0.0000  0.0000  12 In 3.61, 4 K 3.77

A relaxed structure of KLuIn2. Source: the Alexandria database, functional PBE.

relative energy among the computed polymorphs	148.4	meV per atom
SG	No. 166
crystal system	trigonal
calculated formation energy	-0.05	eV per atom

a b c (Å): 3.5972 3.5972 11.1736
angles (deg): 80.74 80.74 60.00
Last column: nearest neighbours and their distance in Å.
Element x y z (fractional)
In  0.2580  0.2580  0.2259  3 Lu 3.23, 6 In 3.60
In  0.7420  0.7420  0.7741  3 Lu 3.23, 6 In 3.60
K  0.5000  0.5000  0.5000  6 K 3.60, 6 In 3.66
Lu  0.0000  0.0000  0.0000  6 In 3.23, 6 Lu 3.60

A relaxed structure of K2Mg12In7. Source: the Alexandria database, functional PBE.

SG	No. 147
crystal system	trigonal
calculated formation energy	-0.05	eV per atom

a b c (Å): 4.7169 11.8212 11.8212
angles (deg): 120.00 90.00 90.00
Last column: nearest neighbours and their distance in Å.
Element x y z (fractional)
In  0.2537  0.8767  0.2869  7 Mg 2.98-3.02
In  0.7463  0.2869  0.4102  7 Mg 2.98-3.02
In  0.2537  0.4102  0.1233  7 Mg 2.98-3.02
In  0.5000  0.0000  0.0000  6 Mg 2.99
In  0.7463  0.1233  0.7131  7 Mg 2.98-3.02
In  0.7463  0.5898  0.8767  7 Mg 2.98-3.02
In  0.2537  0.7131  0.5898  7 Mg 2.98-3.02
Mg  0.2406  0.7335  0.8525  4 In 2.98-3.02, 1 Mg 3.21
Mg  0.2478  0.4291  0.3843  4 In 2.98-3.00, 1 Mg 3.21
Mg  0.2406  0.1475  0.8810  4 In 2.98-3.02, 1 Mg 3.21
Mg  0.2406  0.1190  0.2665  4 In 2.98-3.02, 1 Mg 3.21
Mg  0.7522  0.3843  0.9553  4 In 2.98-3.00, 1 Mg 3.21
Mg  0.7522  0.5709  0.6157  4 In 2.98-3.00, 1 Mg 3.21
Mg  0.2478  0.9553  0.5709  4 In 2.98-3.00, 1 Mg 3.21
Mg  0.2478  0.6157  0.0447  4 In 2.98-3.00, 1 Mg 3.21
Mg  0.7594  0.8525  0.1190  4 In 2.98-3.02, 1 Mg 3.21
Mg  0.7594  0.2665  0.1475  4 In 2.98-3.02, 1 Mg 3.21
Mg  0.7522  0.0447  0.4291  4 In 2.98-3.00, 1 Mg 3.21
Mg  0.7594  0.8810  0.7335  4 In 2.98-3.02, 1 Mg 3.21
K  0.7500  0.6667  0.3333  6 In 3.65-3.67, 9 Mg 3.93-4.02
K  0.2500  0.3333  0.6667  6 In 3.65-3.67, 9 Mg 3.93-4.02

A relaxed structure of KMg2In6. Source: the Alexandria database, functional PBE.

relative energy among the computed polymorphs	278.4	meV per atom
SG	No. 227
crystal system	cubic
calculated formation energy	0.24	eV per atom

a b c (Å): 9.5898 9.5898 9.5898
angles (deg): 60.00 60.00 60.00
Last column: nearest neighbours and their distance in Å.
Element x y z (fractional)
In  0.0003  0.4997  0.4997  2 Mg 2.93
In  0.0003  0.0003  0.4997  2 Mg 2.93
In  0.7503  0.2497  0.7503  2 Mg 2.93
In  0.2497  0.2497  0.7503  2 Mg 2.93
In  0.7503  0.2497  0.2497  2 Mg 2.93
In  0.4997  0.0003  0.4997  2 Mg 2.93
In  0.0003  0.4997  0.0003  2 Mg 2.93
In  0.4997  0.0003  0.0003  2 Mg 2.93
In  0.2497  0.7503  0.7503  2 Mg 2.93
In  0.4997  0.4997  0.0003  2 Mg 2.93
In  0.7503  0.7503  0.2497  2 Mg 2.93
In  0.2497  0.7503  0.2497  2 Mg 2.93
Mg  0.1250  0.6250  0.1250  6 In 2.93
Mg  0.6250  0.1250  0.1250  6 In 2.93
Mg  0.1250  0.1250  0.1250  6 In 2.93
Mg  0.1250  0.1250  0.6250  6 In 2.93
K  0.5000  0.5000  0.5000  6 In 3.39
K  0.7500  0.7500  0.7500  6 In 3.39

A relaxed structure of KMgIn5. Source: the Alexandria database, functional PBE.

SG	No. 123
crystal system	tetragonal
calculated formation energy	-0.07	eV per atom

a b c (Å): 4.4827 4.4827 10.8206
angles (deg): 90.00 90.00 90.00
Last column: nearest neighbours and their distance in Å.
Element x y z (fractional)
In  0.0000  0.5000  0.2238  6 In 3.17-3.30, 2 Mg 3.30
In  0.5000  0.5000  0.0000  4 Mg 3.17, 8 In 3.30
In  0.5000  0.0000  0.7762  6 In 3.17-3.30, 2 Mg 3.30
In  0.0000  0.5000  0.7762  6 In 3.17-3.30, 2 Mg 3.30
In  0.5000  0.0000  0.2238  6 In 3.17-3.30, 2 Mg 3.30
K  0.0000  0.0000  0.5000  8 In 3.74
Mg  0.0000  0.0000  0.0000  12 In 3.17-3.30

A relaxed structure of KMgIn11. Source: the Alexandria database, functional PBE.

SG	No. 12
crystal system	monoclinic
calculated formation energy	-0.03	eV per atom

a b c (Å): 6.2190 8.1673 8.3103
angles (deg): 82.85 68.03 70.58
Last column: nearest neighbours and their distance in Å.
Element x y z (fractional)
K  0.0000  0.0000  0.0000  18 In 3.85-4.16, 2 Mg 4.23
In  0.0000  0.0000  0.5000  10 In 3.11-3.47
In  0.5000  0.0000  0.5000  10 In 3.11-3.47
In  0.0094  0.6384  0.3523  6 In 3.12-3.47, 1 Mg 3.32
In  0.7086  0.7843  0.7874  1 Mg 3.08, 7 In 3.15-3.43
In  0.0000  0.5000  0.0000  2 Mg 3.11, 8 In 3.22-3.29
In  0.3617  0.6384  0.6477  6 In 3.12-3.47, 1 Mg 3.32
In  0.6383  0.3616  0.3523  6 In 3.12-3.47, 1 Mg 3.32
In  0.2914  0.2157  0.2126  1 Mg 3.08, 7 In 3.15-3.43
In  0.9906  0.3616  0.6477  6 In 3.12-3.47, 1 Mg 3.32
In  0.4960  0.7843  0.2126  1 Mg 3.08, 7 In 3.15-3.43
In  0.5040  0.2157  0.7874  1 Mg 3.08, 7 In 3.15-3.43
Mg  0.5000  0.5000  0.0000  10 In 3.08-3.32

A relaxed structure of KMgIn3. Source: the Alexandria database, functional PBE.

relative energy among the computed polymorphs	870.2	meV per atom
SG	No. 221
crystal system	cubic
calculated formation energy	0.87	eV per atom

a b c (Å): 6.0317 6.0317 6.0317
angles (deg): 90.00 90.00 90.00
Last column: nearest neighbours and their distance in Å.
Element x y z (fractional)
In  0.0000  0.0000  0.5000  2 K 3.02
In  0.5000  0.0000  0.0000  2 K 3.02
In  0.0000  0.5000  0.0000  2 K 3.02
Mg  0.5000  0.5000  0.5000  12 In 4.27
K  0.0000  0.0000  0.0000  6 In 3.02

A relaxed structure of KMg4In2. Source: the Alexandria database, functional PBE.

SG	No. 136
crystal system	tetragonal
calculated formation energy	-0.04	eV per atom

a b c (Å): 4.8538 8.9483 8.9483
angles (deg): 90.00 90.00 90.00
Last column: nearest neighbours and their distance in Å.
Element x y z (fractional)
Mg  0.0000  0.3519  0.0946  3 In 3.02-3.04, 6 Mg 3.15-3.29
Mg  0.5000  0.8519  0.4054  3 In 3.02-3.04, 6 Mg 3.15-3.29
Mg  0.5000  0.4054  0.8519  3 In 3.02-3.04, 6 Mg 3.15-3.29
Mg  0.0000  0.9054  0.6481  3 In 3.02-3.04, 6 Mg 3.15-3.29
Mg  0.0000  0.6481  0.9054  3 In 3.02-3.04, 6 Mg 3.15-3.29
Mg  0.5000  0.1481  0.5946  3 In 3.02-3.04, 6 Mg 3.15-3.29
Mg  0.0000  0.0946  0.3519  3 In 3.02-3.04, 6 Mg 3.15-3.29
Mg  0.5000  0.5946  0.1481  3 In 3.02-3.04, 6 Mg 3.15-3.29
K  0.5000  0.0000  0.0000  6 In 3.57-3.67, 4 Mg 3.86
K  0.0000  0.5000  0.5000  6 In 3.57-3.67, 4 Mg 3.86
In  0.5000  0.7178  0.7178  6 Mg 3.02-3.04
In  0.5000  0.2822  0.2822  6 Mg 3.02-3.04
In  0.0000  0.2178  0.7822  6 Mg 3.02-3.04
In  0.0000  0.7822  0.2178  6 Mg 3.02-3.04

A relaxed structure of KMgIn3. Source: the Alexandria database, functional PBE.

relative energy among the computed polymorphs	0.0	meV per atom
SG	No. 194
crystal system	hexagonal
calculated formation energy	0.00	eV per atom

a b c (Å): 6.3560 7.4872 7.4868
angles (deg): 120.01 90.00 90.00
Last column: nearest neighbours and their distance in Å.
Element x y z (fractional)
In  0.7501  0.1949  0.8052  2 Mg 2.98, 2 In 3.11
In  0.2500  0.8052  0.6103  2 Mg 2.98, 2 In 3.11
In  0.2499  0.3897  0.1947  2 Mg 2.98, 2 In 3.11
In  0.2499  0.8051  0.1948  2 Mg 2.98, 2 In 3.11
In  0.7501  0.6103  0.8053  2 Mg 2.98, 2 In 3.11
In  0.7500  0.1948  0.3897  2 Mg 2.98, 2 In 3.11
K  0.7499  0.6667  0.3334  12 In 3.65-3.76
K  0.2501  0.3333  0.6666  12 In 3.65-3.76
Mg  0.5000  0.0000  0.0000  6 In 2.98, 2 Mg 3.18
Mg  0.0000  0.0000  0.0000  6 In 2.98, 2 Mg 3.18

Q: What is the calculated formation energy in the tenth record?
A: 0.87 eV per atom

Q: Which of these has the lowest calculated formation energy?
A: number 3